DFT (PBE) results for a relaxed structure of PuNpNiPd.

## Properties
energy relative to the elements: -20 kJ per mole of atoms
energy: -39.09 eV for the cell shown

a b c (Å): 4.5529 4.5529 4.5529
angles (deg): 60.00 60.00 60.00
Each line ends with the local moment (μB).
Positions (direct):
Np  0.5000  0.5000  0.5000  -2.26
Pu  0.2500  0.2500  0.2500  3.98
Ni  0.7500  0.7500  0.7500  0.08
Pd  0.0000  0.0000  0.0000  0.00



DFT (PBE) results for a relaxed structure of NpNiPdRh.

## Properties
energy relative to the elements: -15 kJ per mole of atoms
energy: -31.90 eV for the cell shown

a b c (Å): 4.5314 4.5314 4.5314
angles (deg): 60.00 60.00 60.00
Each line ends with the local moment (μB).
Positions (direct):
Pd  0.2500  0.2500  0.2500  0.04
Rh  0.5000  0.5000  0.5000  -0.26
Np  0.7500  0.7500  0.7500  3.42
Ni  0.0000  0.0000  0.0000  -0.25



DFT (PBE) results for a relaxed structure of NpNiSbPd.

## Properties
energy: -28.93 eV for the cell shown

a b c (Å): 4.7359 4.7359 4.7359
angles (deg): 60.00 60.00 60.00
Each line ends with the local moment (μB).
Positions (direct):
Sb  0.7500  0.7500  0.7500  -0.02
Pd  0.0000  0.0000  0.0000  -0.06
Ni  0.5000  0.5000  0.5000  -0.27
Np  0.2500  0.2500  0.2500  3.67



DFT (PBE) results for a relaxed structure of NpNiSnPd.

## Properties
energy relative to the elements: -19 kJ per mole of atoms
energy: -28.71 eV for the cell shown

a b c (Å): 4.7365 4.7365 4.7365
angles (deg): 60.00 60.00 60.00
Each line ends with the local moment (μB).
Positions (direct):
Ni  0.5000  0.5000  0.5000  -0.29
Sn  0.2500  0.2500  0.2500  -0.03
Np  0.7500  0.7500  0.7500  3.56
Pd  0.0000  0.0000  0.0000  -0.07



DFT (PBE) results for a relaxed structure of NpUNiPd.

## Properties
energy relative to the elements: -28 kJ per mole of atoms
energy: -36.36 eV for the cell shown

a b c (Å): 4.6016 4.6016 4.6016
angles (deg): 60.00 60.00 60.00
Each line ends with the local moment (μB).
Positions (direct):
Np  0.2500  0.2500  0.2500  3.37
U  0.5000  0.5000  0.5000  1.68
Pd  0.0000  0.0000  0.0000  -0.02
Ni  0.7500  0.7500  0.7500  0.04



DFT (PBE) results for a relaxed structure of PmNp2Ni9.

## Properties
energy relative to the elements: -22 kJ per mole of atoms
energy: -170.81 eV for the cell shown

a b c (Å): 4.9267 4.9268 16.2916
angles (deg): 90.00 90.00 120.00
Each line ends with the local moment (μB).
Positions (direct):
Ni  0.8333  0.6665  0.6254  -0.14
Ni  0.6665  0.8333  0.3746  -0.14
Np  0.3333  0.6667  0.9673  3.49
Np  0.3333  0.6667  0.5327  3.49
Ni  0.0000  0.0000  0.2500  -0.14
Ni  0.1667  0.8333  0.1254  -0.14
Ni  0.3335  0.1667  0.6254  -0.14
Np  0.6667  0.3333  0.4673  3.49
Ni  0.0000  0.0000  0.0000  -0.07
Ni  0.0000  0.0000  0.5000  -0.07
Ni  0.3335  0.1667  0.8746  -0.14
Ni  0.8333  0.6665  0.8746  -0.14
Pm  0.6667  0.3333  0.2500  0.05
Ni  0.0000  0.0000  0.7500  -0.14
Ni  0.8333  0.1667  0.6254  -0.14
Ni  0.1667  0.3335  0.3746  -0.14
Ni  0.1667  0.8333  0.3746  -0.14
Ni  0.1667  0.3335  0.1254  -0.14
Pm  0.3333  0.6667  0.7500  0.05
Ni  0.6665  0.8333  0.1254  -0.14
Ni  0.6667  0.3333  0.7500  -0.04
Ni  0.8333  0.1667  0.8746  -0.14
Ni  0.3333  0.6667  0.2500  -0.04
Np  0.6667  0.3333  0.0327  3.49



DFT (PBE) results for a relaxed structure of PmNpNi17.

## Properties
energy relative to the elements: -11 kJ per mole of atoms
energy: -118.19 eV for the cell shown

a b c (Å): 6.2565 6.2565 6.2565
angles (deg): 83.07 83.07 83.07
Each line ends with the local moment (μB).
Positions (direct):
Ni  0.1015  0.1015  0.1015  0.45
Pm  0.6604  0.6604  0.6604  -0.09
Np  0.3368  0.3368  0.3368  -3.44
Ni  0.0000  0.5000  0.0000  0.50
Ni  0.6513  0.6513  0.1563  0.46
Ni  0.5000  0.0000  0.0000  0.50
Ni  0.3450  0.8487  0.3450  0.44
Ni  0.1563  0.6513  0.6513  0.46
Ni  0.7044  0.2939  0.0020  0.43
Ni  0.0000  0.0000  0.5000  0.50
Ni  0.6513  0.1563  0.6513  0.46
Ni  0.0020  0.2939  0.7044  0.43
Ni  0.2939  0.7044  0.0020  0.43
Ni  0.7044  0.0020  0.2939  0.43
Ni  0.9033  0.9033  0.9033  0.44
Ni  0.8487  0.3450  0.3450  0.44
Ni  0.2939  0.0020  0.7044  0.43
Ni  0.0020  0.7044  0.2939  0.43
Ni  0.3450  0.3450  0.8487  0.44



DFT (PBE) results for a relaxed structure of PmNpNi2.

## Properties
energy relative to the elements: 0 kJ per mole of atoms
energy above the lowest structure with this stoichiometry: 0 meV per atom
energy: -29.24 eV for the cell shown

a b c (Å): 3.4013 3.4013 6.7879
angles (deg): 90.00 90.00 90.00
Each line ends with the local moment (μB).
Positions (direct):
Ni  0.0000  0.0000  0.7918  -0.10
Pm  0.5000  0.5000  0.5000  0.10
Ni  0.0000  0.0000  0.2082  -0.10
Np  0.5000  0.5000  0.0000  3.42



DFT (PBE) results for a relaxed structure of PmNpNi.

## Properties
energy relative to the elements: 0 kJ per mole of atoms
energy: -46.94 eV for the cell shown

a b c (Å): 3.5899 7.1061 5.7510
angles (deg): 87.82 71.80 104.59
Each line ends with the local moment (μB).
Positions (direct):
Ni  0.0088  0.6488  0.6309  0.03
Np  0.6509  0.9386  0.6368  1.33
Np  0.3491  0.0614  0.3632  1.33
Pm  0.2593  0.3353  0.8168  -0.01
Ni  0.9912  0.3512  0.3691  0.03
Pm  0.7407  0.6647  0.1832  -0.01



DFT (PBE) results for a relaxed structure of PmNpNiRu.

## Properties
energy relative to the elements: 1 kJ per mole of atoms
energy: -32.71 eV for the cell shown

a b c (Å): 4.8291 4.8291 4.8291
angles (deg): 60.00 60.00 60.00
Each line ends with the local moment (μB).
Positions (direct):
Np  0.5000  0.5000  0.5000  3.66
Pm  0.0000  0.0000  0.0000  0.11
Ni  0.2500  0.2500  0.2500  -0.24
Ru  0.7500  0.7500  0.7500  -0.43